DFT (PBE) results for an optimized crystal structure of Nd2Zn12Cu3Rh.

## Properties
E   -2.53 eV per atom
ΔE_f   -63.8 meV/atom
Magnetic moment   0.000 μB per atom
V   18.01 A^3/atom

```
data_Nd2Zn12Cu3Rh
_space_group_name_H-M_alt 'R -3 m'
_space_group_IT_number 166
_space_group_name_Hall '-R 3 2"'
_cell_length_a 5.8037
_cell_length_b 5.8037
_cell_length_c 33.3352
_cell_angle_alpha 90.00
_cell_angle_beta 90.00
_cell_angle_gamma 120.00
loop_
_atom_site_label
_atom_site_fract_x
_atom_site_fract_y
_atom_site_fract_z
Nd1 0.0000 0.0000 0.1413
Zn1 0.0049 0.5024 0.1081
Zn2 0.0342 0.5171 0.6153
Cu1 0.0000 0.5000 0.0000
Rh1 0.0000 0.0000 0.5000
```